This record from Alexandria describes a geometry-optimized HfAuCl structure. The functional is PBE.

Summary:
For the density of states at the Fermi level, the calculation gives 0.344 states/eV per atom. The calculation puts the formation energy (no corrections) at -22.023 kcal/mol of atoms.

abc: 3.4320 3.4320 23.4822
angles: 90.00 90.00 90.00
Space group I-4m2 (No. 119)
One atom of each set of equivalent atoms:
Hf 0.0000 0.0000 0.1523
Au 0.0000 0.0000 0.2857
Cl 0.0000 0.5000 0.0721


This record from Alexandria describes a geometry-optimized HfAuCl structure. The functional is PBE.

Summary:
For the density of states at the Fermi level, the calculation gives 0.375 states/eV per atom. The calculation puts the formation energy (no corrections) at -22.127 kcal/mol of atoms.

abc: 3.3492 3.5796 11.6857
angles: 90.00 90.00 90.00
Space group Pmmn (No. 59, origin choice 2)
One atom of each set of equivalent atoms:
Hf 0.2500 0.2500 0.1922
Au 0.2500 0.2500 0.9287
Cl 0.2500 0.7500 0.6436


This record from Alexandria describes a geometry-optimized HfAu3Cl structure. The functional is PBE.

Summary:
For the density of states at the Fermi level, the calculation gives 1.192 states/eV per atom. The calculation puts the formation energy (no corrections) at 23.831 kcal/mol of atoms.

abc: 4.8606 4.8606 4.8606
angles: 90.00 90.00 90.00
Space group Pm-3m (No. 221)
One atom of each set of equivalent atoms:
Hf 0.0000 0.0000 0.0000
Au 0.0000 0.5000 0.5000
Cl 0.5000 0.5000 0.5000


This record from Alexandria describes a geometry-optimized Hf2AuCl structure. The functional is PBE.

Summary:
For the density of states at the Fermi level, the calculation gives 0.045 states/eV per atom. The calculation puts the formation energy (no corrections) at 0.603 kcal/mol of atoms.

abc: 4.9697 4.9697 15.3283
angles: 90.00 90.00 90.00
Space group I-42d (No. 122)
One atom of each set of equivalent atoms:
Hf 0.2196 0.2500 0.1250
Au 0.0000 0.0000 0.5000
Cl 0.0000 0.0000 0.0000


density of states at the Fermi level of number 1 (HfAuCl)? 0.344 states/eV per atom


Which of these has the lowest formation energy (no corrections)? number 2


Number 3 is which compound? HfAu3Cl


The lowest formation energy (no corrections) belongs to which entry? number 2